[1]
PmNdDyAg: optimized geometry, PBE-GGA.

Structure (extended XYZ):
```
4
Lattice="3.668 0.000 0.000 0.000 3.668 0.000 0.000 0.000 8.839" Properties=species:S:1:pos:R:3 pbc="T T T"
Dy 1.834 1.834 3.220
Pm 1.834 1.834 6.922
Nd 0.000 0.000 0.682
Ag 0.000 0.000 4.951
```

Values from the calculation:
Space group: P4mm (99)
Energy above the most stable polymorph in this dataset (meV per atom): 0

=====

[2]
PrNdDyAg: optimized geometry, PBE-GGA.

Structure (extended XYZ):
```
4
Lattice="-1.802 -4.832 1.940 2.883 -2.664 3.866 -1.952 -0.350 5.141" Properties=species:S:1:pos:R:3 pbc="T T T"
Pr -0.653 -5.884 8.210
Dy -0.435 -3.923 5.473
Nd -0.218 -1.961 2.737
Ag 0.000 0.000 0.000
```

Values from the calculation:
Space group: F-43m (216)
Energy above the most stable polymorph in this dataset (meV per atom): 185

=====

[3]
PrNdDyAg: optimized geometry, PBE-GGA.

Structure (extended XYZ):
```
4
Lattice="3.690 0.000 0.000 0.000 3.690 0.000 0.000 0.000 8.860" Properties=species:S:1:pos:R:3 pbc="T T T"
Dy 1.845 1.845 3.242
Ag 0.000 0.000 4.936
Pr 0.000 0.000 0.700
Nd 1.845 1.845 6.935
```

Values from the calculation:
Space group: P4mm (99)
Energy above the most stable polymorph in this dataset (meV per atom): 0

=====

[4]
Nd2DyAgS5: optimized geometry, PBE-GGA.

Structure (extended XYZ):
```
18
Lattice="3.996 0.000 0.000 -1.998 8.330 0.000 0.000 0.000 12.111" Properties=species:S:1:pos:R:3 pbc="T T T"
Dy 1.998 5.081 6.120
S 0.000 4.792 8.028
Nd 0.000 2.093 3.675
S 0.000 8.310 9.361
Ag 0.000 7.709 5.649
Nd 0.000 1.847 8.294
Nd 1.998 6.237 9.730
Dy 0.000 3.249 0.064
S 0.000 5.096 4.186
S 1.998 3.539 1.973
S 1.998 2.359 6.052
S 0.000 5.971 12.107
Ag 1.998 0.622 11.705
Nd 1.998 6.483 2.239
S 1.998 0.021 3.306
S 1.998 7.547 7.058
S 0.000 0.783 1.002
S 1.998 3.234 10.241
```

Values from the calculation:
Space group: Cmc2_1 (36)
Formation energy without anion corrections (eV/atom): -1.684

=====

[5]
NdDyScAg: optimized geometry, PBE-GGA.

Structure (extended XYZ):
```
4
Lattice="-0.098 -3.293 4.192 4.567 -1.731 2.138 1.528 1.748 4.799" Properties=species:S:1:pos:R:3 pbc="T T T"
Nd 2.998 -1.638 5.564
Ag 1.499 -0.819 2.782
Dy 0.000 0.000 0.000
Sc 4.498 -2.457 8.347
```

Values from the calculation:
Space group: F-43m (216)
Energy above the most stable polymorph in this dataset (meV per atom): 143

=====

[6]
NdDyScAg: optimized geometry, PBE-GGA.

Structure (extended XYZ):
```
4
Lattice="3.567 0.000 0.000 0.000 3.567 0.000 0.000 0.000 8.434" Properties=species:S:1:pos:R:3 pbc="T T T"
Sc 1.784 1.784 3.105
Nd 0.000 0.000 0.730
Ag 0.000 0.000 4.654
Dy 1.784 1.784 6.563
```

Values from the calculation:
Space group: P4mm (99)
Energy above the most stable polymorph in this dataset (meV per atom): 0